1.
# GeAuF3 (GGA-PBE, optimized geometry)
data_GeAuF3
_chemical_formula_sum 'Ge1 Au1 F3'
_cell_length_a 4.459
_cell_length_b 4.459
_cell_length_c 4.459
_cell_angle_alpha 90.00
_cell_angle_beta 90.00
_cell_angle_gamma 90.00
_symmetry_space_group_name_H-M 'P m -3 m'
_symmetry_Int_Tables_number 221
_symmetry_space_group_name_Hall '-P 4 2 3'
loop_
_atom_site_label
_atom_site_type_symbol
_atom_site_fract_x
_atom_site_fract_y
_atom_site_fract_z
_atom_site_occupancy
Ge1 Ge 0.000 0.000 0.000 1
Au1 Au 0.500 0.500 0.500 1
F1 F 0.000 0.500 0.500 1
# E_form (uncorrected)	-585	meV per atom
# energy above the most stable polymorph in this dataset	593	meV/atom
# total DFT energy (no corrections)	-16.43	eV for the cell shown

2.
# GeAu2F (GGA-PBE, optimized geometry)
data_GeAu2F
_chemical_formula_sum 'Ge4 Au8 F4'
_cell_length_a 7.219
_cell_length_b 7.219
_cell_length_c 5.438
_cell_angle_alpha 90.00
_cell_angle_beta 90.00
_cell_angle_gamma 90.00
_symmetry_space_group_name_H-M 'I -4 2 d'
_symmetry_Int_Tables_number 122
_symmetry_space_group_name_Hall 'I -4 2bw'
loop_
_atom_site_label
_atom_site_type_symbol
_atom_site_fract_x
_atom_site_fract_y
_atom_site_fract_z
_atom_site_occupancy
Ge1 Ge 0.000 0.000 0.000 1
Au1 Au 0.244 0.250 0.125 1
F1 F 0.000 0.000 0.500 1
# E_form (uncorrected)	-342	meV per atom
# energy above the most stable polymorph in this dataset	0	meV/atom
# total DFT energy (no corrections)	-57.65	eV for the cell shown

3.
# GeAu2F (GGA-PBE, optimized geometry)
data_GeAu2F
_chemical_formula_sum 'Ge4 Au8 F4'
_cell_length_a 6.380
_cell_length_b 6.380
_cell_length_c 6.380
_cell_angle_alpha 90.00
_cell_angle_beta 90.00
_cell_angle_gamma 90.00
_symmetry_space_group_name_H-M 'F m -3 m'
_symmetry_Int_Tables_number 225
_symmetry_space_group_name_Hall '-F 4 2 3'
loop_
_atom_site_label
_atom_site_type_symbol
_atom_site_fract_x
_atom_site_fract_y
_atom_site_fract_z
_atom_site_occupancy
Ge1 Ge 0.000 0.000 0.000 1
Au1 Au 0.250 0.250 0.250 1
F1 F 0.000 0.000 0.500 1
# E_form (uncorrected)	-253	meV per atom
# energy above the most stable polymorph in this dataset	90	meV/atom
# total DFT energy (no corrections)	-56.21	eV for the cell shown